(1)
# TaWBr2, relaxed, DFT GGA-PBEsol
data_TaWBr2
_cell_length_a 3.349
_cell_length_b 5.314
_cell_length_c 9.480
_cell_angle_alpha 90.00
_cell_angle_beta 90.00
_cell_angle_gamma 90.00
_symmetry_space_group_name_H-M 'C m m 2'
_symmetry_Int_Tables_number 35
_symmetry_space_group_name_Hall 'C 2 -2'
loop_
_atom_site_label
_atom_site_type_symbol
_atom_site_fract_x
_atom_site_fract_y
_atom_site_fract_z
Ta1 Ta 0.000 0.000 0.000
W1 W 0.000 0.500 0.207
Br1 Br 0.000 0.000 0.430
Br2 Br 0.000 0.500 0.776
# * E_form (uncorrected): 0.2562 eV per atom
# * size of the total moment: 0.00 Bohr magnetons per cell

***

(2)
# KHgSe, relaxed, DFT GGA-PBEsol
data_KHgSe
_cell_length_a 3.350
_cell_length_b 3.350
_cell_length_c 13.985
_cell_angle_alpha 90.00
_cell_angle_beta 90.00
_cell_angle_gamma 90.00
_symmetry_space_group_name_H-M 'I 4 m m'
_symmetry_Int_Tables_number 107
_symmetry_space_group_name_Hall 'I 4 -2'
loop_
_atom_site_label
_atom_site_type_symbol
_atom_site_fract_x
_atom_site_fract_y
_atom_site_fract_z
K1 K 0.000 0.000 0.000
Hg1 Hg 0.000 0.000 0.320
Se1 Se 0.000 0.000 0.661
# * E_form (uncorrected): -0.3172 eV per atom
# * size of the total moment: 0.00 Bohr magnetons per cell

***

(3)
# NaCaCd2, relaxed, DFT GGA-PBEsol
data_NaCaCd2
_cell_length_a 7.437
_cell_length_b 7.437
_cell_length_c 7.437
_cell_angle_alpha 90.00
_cell_angle_beta 90.00
_cell_angle_gamma 90.00
_symmetry_space_group_name_H-M 'F m -3 m'
_symmetry_Int_Tables_number 225
_symmetry_space_group_name_Hall '-F 4 2 3'
loop_
_atom_site_label
_atom_site_type_symbol
_atom_site_fract_x
_atom_site_fract_y
_atom_site_fract_z
Na1 Na 0.000 0.000 0.000
Ca1 Ca 0.000 0.000 0.500
Cd1 Cd 0.250 0.250 0.250
# * size of the total moment: 0.00 Bohr magnetons per cell

***

Q: Which D(E_F) values were calculated for the entries above? A: 4.5; 2.2; 11.3, in states/eV per cell.
Q: Which energy values were calculated for the entries above? A: -7.2684; -2.1673; -1.6385, in eV per atom.